Entry 1:
This record from the Alexandria database describes crystalline TmSc2MoO6 at its relaxed geometry. The functional is PBE with a Hubbard U.

Computed properties:
Total magnetic moment: 3.00 μB/cell
DOS(E_F): 0.000 states/eV per atom
Mass density: 5.896 g/cm3
Symmetry: No. 146
Raw total energy: -84.6 eV for the cell shown

a b c (Å): 5.481 5.480 5.815
angles (deg): 61.92 61.91 59.98
Site moments in Bohr magnetons follow the coordinates.
Sites, in units of the cell vectors:
Tm1 0.806 0.806 0.581  0.04
Sc1 0.525 0.525 0.426  0.03
Sc2 0.018 0.018 0.946  0.01
Mo1 0.317 0.317 0.050  2.70
O1 0.622 0.224 0.251  0.02
O2 0.224 0.904 0.251  0.02
O3 0.903 0.622 0.251  0.02
O4 0.395 0.721 0.754  0.01
O5 0.722 0.130 0.754  0.01
O6 0.130 0.395 0.754  0.01

=====

Entry 2:
This record from the Alexandria database describes crystalline TmScMoO6 at its relaxed geometry. The functional is PBE with a Hubbard U.

Computed properties:
Total magnetic moment: 0.00 μB/cell
DOS(E_F): 0.000 states/eV per atom
Mass density: 5.943 g/cm3
Symmetry: No. 149
Raw total energy: -71.2 eV for the cell shown

a b c (Å): 4.557 5.360 5.360
angles (deg): 120.00 90.00 90.00
Sites, in units of the cell vectors:
Tm1 0.500 0.667 0.333
Sc1 0.000 0.333 0.667
Mo1 0.500 0.000 0.000
O1 0.738 0.689 0.703
O2 0.738 0.297 0.986
O3 0.738 0.014 0.311
O4 0.262 0.297 0.311
O5 0.262 0.689 0.986
O6 0.262 0.014 0.703

=====

Entry 3:
This record from the Alexandria database describes crystalline TmSc2MoO8 at its relaxed geometry. The functional is PBE with a Hubbard U.

Computed properties:
Total magnetic moment: 0.01 μB/cell
DOS(E_F): 0.575 states/eV per atom
Mass density: 5.219 g/cm3
Symmetry: No. 65
Raw total energy: -95.9 eV for the cell shown

a b c (Å): 4.861 4.861 6.501
angles (deg): 90.00 90.00 90.46
Sites, in units of the cell vectors:
Tm1 0.000 0.000 0.500
Sc1 0.500 0.500 0.748
Sc2 0.500 0.500 0.252
Mo1 0.000 0.000 0.000
O1 0.192 0.808 0.218
O2 0.713 0.714 0.000
O3 0.808 0.192 0.218
O4 0.808 0.192 0.782
O5 0.287 0.286 0.000
O6 0.192 0.808 0.782
O7 0.685 0.686 0.500
O8 0.315 0.314 0.500

=====

Entry 4:
This record from the Alexandria database describes crystalline ScUMoO6 at its relaxed geometry. The functional is PBE with a Hubbard U.

Computed properties:
Total magnetic moment: 6.00 μB/cell
Mass density: 6.675 g/cm3
Symmetry: No. 163
Raw total energy: -158.7 eV for the cell shown

a b c (Å): 5.514 5.513 8.977
angles (deg): 89.99 90.02 120.01
Site moments in Bohr magnetons follow the coordinates.
Sites, in units of the cell vectors:
Sc1 0.333 0.666 0.250  0.02
Sc2 0.667 0.334 0.750  0.02
U1 0.667 0.333 0.250  0.17
U2 0.333 0.667 0.750  0.17
Mo1 0.000 0.000 0.000  2.72
Mo2 0.000 0.000 0.500  2.72
O1 0.664 0.660 0.132  -0.01
O2 0.996 0.336 0.132  -0.01
O3 0.336 0.996 0.632  -0.01
O4 0.004 0.664 0.868  -0.01
O5 0.340 0.336 0.368  -0.01
O6 0.996 0.660 0.368  -0.01
O7 0.660 0.996 0.868  -0.01
O8 0.664 0.004 0.368  -0.01
O9 0.004 0.340 0.632  -0.01
O10 0.340 0.004 0.132  -0.01
O11 0.660 0.664 0.632  -0.01
O12 0.336 0.340 0.868  -0.01